Li3MnCo2O6: optimized geometry, PBE+U.

POSCAR file:
```
Li3MnCo2O6
1.0
2.8802 0.0150 -0.0246
1.3703 9.6011 0.1315
-1.3393 0.5431 7.5331
Co O Li Mn
4 12 6 2
direct
0.6631 0.9991 0.3313
0.0046 0.9998 0.0023
0.1669 0.5010 0.8335
0.5021 0.4984 0.5030
0.1269 0.3842 0.6395
0.5586 0.6148 0.7262
0.6165 0.8931 0.1231
0.8710 0.6142 0.3567
0.4402 0.3841 0.2700
0.2744 0.8907 0.4539
0.9599 0.8902 0.7939
0.7059 0.1113 0.5376
0.3941 0.1083 0.8815
0.7812 0.3916 0.9559
0.0511 0.1055 0.2099
0.2173 0.6110 0.0438
0.4182 0.2424 0.0788
0.2499 0.7549 0.2547
0.0865 0.2471 0.4255
0.5801 0.7559 0.9102
0.9221 0.7441 0.5881
0.7456 0.2569 0.7510
0.3331 0.0009 0.6665
0.8306 0.5004 0.1632
```

Values from the calculation:
space-group type: P1
VASP energy: -0.4360 Ry per atom